(1)
# Ba2NdW2N6, relaxed, DFT PBE
# Uncorrected energy = -0.6167 Ry per atom
# E_form (uncorrected) = -0.711 eV/atom
# Density of states at the Fermi level = 0.437 states/eV/atom
data_Ba2NdW2N6
_symmetry_space_group_name_H-M 'C 1 2/m 1'
_symmetry_Int_Tables_number 12
_cell_length_a 11.030
_cell_length_b 6.304
_cell_length_c 7.326
_cell_angle_alpha 90.00
_cell_angle_beta 122.19
_cell_angle_gamma 90.00
loop_
_symmetry_equiv_pos_as_xyz
'x,y,z'
'-x,-y,-z'
'-x,y,-z'
'x,-y,z'
'x+1/2,y+1/2,z'
'-x+1/2,-y+1/2,-z'
'-x+1/2,y+1/2,-z'
'x+1/2,-y+1/2,z'
loop_
_atom_site_label
_atom_site_fract_x
_atom_site_fract_y
_atom_site_fract_z
Ba1 0.209 0.000 0.177
Nd1 0.000 0.000 0.500
W1 0.038 0.500 0.213
N1 0.055 0.259 0.785
N2 0.237 0.500 0.385

(2)
# Ba3NdW2N6, relaxed, DFT PBE
# Uncorrected energy = -0.5883 Ry per atom
# E_form (uncorrected) = -0.805 eV/atom
# Density of states at the Fermi level = 0.311 states/eV/atom
data_Ba3NdW2N6
_symmetry_space_group_name_H-M 'P -3 m 1'
_symmetry_Int_Tables_number 164
_symmetry_space_group_name_Hall '-P 3 2"'
_cell_length_a 6.3472
_cell_length_b 6.3472
_cell_length_c 7.5194
_cell_angle_alpha 90.00
_cell_angle_beta 90.00
_cell_angle_gamma 120.00
loop_
_atom_site_label
_atom_site_fract_x
_atom_site_fract_y
_atom_site_fract_z
Ba1 0.0000 0.0000 0.0000
Ba2 0.3333 0.6667 0.6869
Nd1 0.0000 0.0000 0.5000
W1 0.3333 0.6667 0.2190
N1 0.1731 0.3462 0.2905

(3)
# Ba2NiN, relaxed, DFT PBE
# Uncorrected energy = -0.3106 Ry per atom
# E_form (uncorrected) = 0.262 eV/atom
# Density of states at the Fermi level = 1.465 states/eV/atom
data_Ba2NiN
_symmetry_space_group_name_H-M 'I -4 2 d'
_symmetry_Int_Tables_number 122
_symmetry_space_group_name_Hall 'I -4 2bw'
_cell_length_a 7.546
_cell_length_b 7.546
_cell_length_c 8.739
_cell_angle_alpha 90.00
_cell_angle_beta 90.00
_cell_angle_gamma 90.00
loop_
_atom_site_label
_atom_site_fract_x
_atom_site_fract_y
_atom_site_fract_z
Ba1 0.186 0.250 0.125
Ni1 0.000 0.000 0.500
N1 0.000 0.000 0.000

(4)
# Ba3NiN3, relaxed, DFT PBE
# Uncorrected energy = -0.4064 Ry per atom
# E_form (uncorrected) = -0.312 eV/atom
# Density of states at the Fermi level = 0.788 states/eV/atom
data_Ba3NiN3
_symmetry_space_group_name_H-M 'P 63/m'
_symmetry_Int_Tables_number 176
_symmetry_space_group_name_Hall '-P 6c'
_cell_length_a 8.0030
_cell_length_b 8.0030
_cell_length_c 5.7080
_cell_angle_alpha 90.00
_cell_angle_beta 90.00
_cell_angle_gamma 120.00
loop_
_atom_site_label
_atom_site_fract_x
_atom_site_fract_y
_atom_site_fract_z
Ba1 0.0815 0.3642 0.2500
Ni1 0.3333 0.6667 0.7500
N1 0.1204 0.4344 0.7500

(5)
# Ba8Ni6N7, relaxed, DFT PBE
# Uncorrected energy = -0.4127 Ry per atom
# E_form (uncorrected) = -0.456 eV/atom
# Density of states at the Fermi level = 0.482 states/eV/atom
data_Ba8Ni6N7
_symmetry_space_group_name_H-M 'C 1 2/c 1'
_symmetry_Int_Tables_number 15
_cell_length_a 9.601
_cell_length_b 16.789
_cell_length_c 12.095
_cell_angle_alpha 90.00
_cell_angle_beta 107.13
_cell_angle_gamma 90.00
loop_
_symmetry_equiv_pos_as_xyz
'x,y,z'
'-x,-y,-z'
'-x,y,-z+1/2'
'x,-y,z+1/2'
'x+1/2,y+1/2,z'
'-x+1/2,-y+1/2,-z'
'-x+1/2,y+1/2,-z+1/2'
'x+1/2,-y+1/2,z+1/2'
loop_
_atom_site_label
_atom_site_fract_x
_atom_site_fract_y
_atom_site_fract_z
Ba1 0.000 0.083 0.250
Ba2 0.000 0.247 0.750
Ba3 0.066 0.298 0.103
Ba4 0.086 0.468 0.643
Ba5 0.207 0.090 0.599
Ni1 0.138 0.079 0.886
Ni2 0.247 0.119 0.101
Ni3 0.249 0.208 0.367
N1 0.000 0.085 0.750
N2 0.000 0.407 0.250
N3 0.195 0.442 0.000
N4 0.238 0.169 0.229
N5 0.250 0.250 0.500

(6)
# BaNiN3, relaxed, DFT PBE
# Uncorrected energy = -0.4098 Ry per atom
# E_form (uncorrected) = 0.960 eV/atom
# Density of states at the Fermi level = 1.304 states/eV/atom
data_BaNiN3
_symmetry_space_group_name_H-M 'P m -3 m'
_symmetry_Int_Tables_number 221
_symmetry_space_group_name_Hall '-P 4 2 3'
_cell_length_a 3.959
_cell_length_b 3.959
_cell_length_c 3.959
_cell_angle_alpha 90.00
_cell_angle_beta 90.00
_cell_angle_gamma 90.00
loop_
_atom_site_label
_atom_site_fract_x
_atom_site_fract_y
_atom_site_fract_z
Ba1 0.000 0.000 0.000
Ni1 0.500 0.500 0.500
N1 0.000 0.500 0.500

(7)
# Ba3NiN, relaxed, DFT PBE
# Uncorrected energy = -0.2879 Ry per atom
# E_form (uncorrected) = 0.058 eV/atom
# Relative energy among the computed polymorphs = 0 meV/atom
# Density of states at the Fermi level = 0.775 states/eV/atom
data_Ba3NiN
_symmetry_space_group_name_H-M 'P m -3 m'
_symmetry_Int_Tables_number 221
_symmetry_space_group_name_Hall '-P 4 2 3'
_cell_length_a 5.504
_cell_length_b 5.504
_cell_length_c 5.504
_cell_angle_alpha 90.00
_cell_angle_beta 90.00
_cell_angle_gamma 90.00
loop_
_atom_site_label
_atom_site_fract_x
_atom_site_fract_y
_atom_site_fract_z
Ba1 0.000 0.000 0.500
Ni1 0.500 0.500 0.500
N1 0.000 0.000 0.000

(8)
# Ba3Ni3N5, relaxed, DFT PBE
# Uncorrected energy = -0.4431 Ry per atom
# E_form (uncorrected) = -0.143 eV/atom
# Density of states at the Fermi level = 0.450 states/eV/atom
data_Ba3Ni3N5
_symmetry_space_group_name_H-M 'P -1'
_symmetry_Int_Tables_number 2
_cell_length_a 6.324
_cell_length_b 7.391
_cell_length_c 9.369
_cell_angle_alpha 111.09
_cell_angle_beta 107.48
_cell_angle_gamma 95.17
loop_
_symmetry_equiv_pos_as_xyz
'x,y,z'
'-x,-y,-z'
loop_
_atom_site_label
_atom_site_fract_x
_atom_site_fract_y
_atom_site_fract_z
Ba1 0.044 0.034 0.214
Ba2 0.274 0.475 0.117
Ba3 0.300 0.713 0.589
Ni1 0.195 0.411 0.751
Ni2 0.340 0.168 0.609
Ni3 0.439 0.846 0.017
N1 0.165 0.648 0.884
N2 0.171 0.327 0.532
N3 0.353 0.235 0.826
N4 0.371 0.103 0.095
N5 0.417 0.979 0.431

(9)
# BaNiN4, relaxed, DFT PBE
# Uncorrected energy = -0.4936 Ry per atom
# E_form (uncorrected) = 0.119 eV/atom
# Density of states at the Fermi level = 0.555 states/eV/atom
data_BaNiN4
_symmetry_space_group_name_H-M 'P 42/m m c'
_symmetry_Int_Tables_number 131
_symmetry_space_group_name_Hall '-P 4c 2'
_cell_length_a 6.259
_cell_length_b 6.259
_cell_length_c 5.016
_cell_angle_alpha 90.00
_cell_angle_beta 90.00
_cell_angle_gamma 90.00
loop_
_atom_site_label
_atom_site_fract_x
_atom_site_fract_y
_atom_site_fract_z
Ba1 0.000 0.500 0.000
Ni1 0.000 0.000 0.250
N1 0.272 0.408 0.500

(10)
# Ba6NiN2, relaxed, DFT PBE
# Uncorrected energy = -0.2885 Ry per atom
# E_form (uncorrected) = -0.151 eV/atom
# Density of states at the Fermi level = 0.658 states/eV/atom
data_Ba6NiN2
_symmetry_space_group_name_H-M 'C 1 2/m 1'
_symmetry_Int_Tables_number 12
_cell_length_a 15.226
_cell_length_b 4.659
_cell_length_c 10.678
_cell_angle_alpha 90.00
_cell_angle_beta 98.54
_cell_angle_gamma 90.00
loop_
_symmetry_equiv_pos_as_xyz
'x,y,z'
'-x,-y,-z'
'-x,y,-z'
'x,-y,z'
'x+1/2,y+1/2,z'
'-x+1/2,-y+1/2,-z'
'-x+1/2,y+1/2,-z'
'x+1/2,-y+1/2,z'
loop_
_atom_site_label
_atom_site_fract_x
_atom_site_fract_y
_atom_site_fract_z
Ba1 0.123 0.000 0.265
Ba2 0.125 0.500 0.618
Ba3 0.170 0.000 0.913
Ni1 0.000 0.000 0.500
N1 0.239 0.500 0.841